# Nb2TeO, optimized geometry, DFT PBE
# uncorrected formation energy = -0.128 eV per atom
# D(E_F) = 0.85 states/eV/atom
# M_tot = 0.00 Bohr magnetons per cell
# polymorph energy (0 for the lowest one) = 0.440 eV per atom
# calculated volume = 16.6 Å³/atom
data_Nb2TeO
_symmetry_space_group_name_H-M 'F m -3 m'
_symmetry_Int_Tables_number 225
_symmetry_space_group_name_Hall '-F 4 2 3'
_cell_length_a 6.423
_cell_length_b 6.423
_cell_length_c 6.423
_cell_angle_alpha 90.00
_cell_angle_beta 90.00
_cell_angle_gamma 90.00
loop_
_atom_site_label
_atom_site_type_symbol
_atom_site_fract_x
_atom_site_fract_y
_atom_site_fract_z
_atom_site_occupancy
Nb1 Nb 0.250 0.250 0.250 1
Te1 Te 0.000 0.000 0.000 1
O1 O 0.000 0.000 0.500 1